Entry 1:
{
  "formula": "AlMoNF2",
  "functional": "PBE with a Hubbard U",
  "state": "optimized geometry",
  "cell": [[-1.402, 4.072, -0.179], [-1.730, -0.766, -3.873], [-3.433, -1.105, 1.752]],
  "species": ["Al", "N", "F", "F", "Mo"],
  "frac_coords": [[0.500, 0.500, 0.500], [0.000, 0.000, 0.500], [0.000, 0.500, 0.000], [0.500, 0.000, 0.000], [0.000, 0.000, 0.000]],
  "total_magnetization_mub_per_fu": 1.986,
  "energy_ev_per_atom": -5.379,
  "relative_energy_mev_per_atom": 558,
  "n_ef_per_ev_cell": 0.53,
  "crystal_system": "tetragonal"
}

***

Entry 2:
{
  "formula": "AlMoNF2",
  "functional": "PBE with a Hubbard U",
  "state": "optimized geometry",
  "cell": [[-1.165, 1.194, -3.267], [-0.751, -3.450, -0.993], [-3.849, 0.401, 1.519]],
  "species": ["N", "Al", "F", "F", "Mo"],
  "frac_coords": [[0.000, 0.000, 0.500], [0.000, 0.000, 0.000], [0.500, 0.000, 0.000], [0.000, 0.500, 0.000], [0.500, 0.500, 0.500]],
  "total_magnetization_mub_per_fu": 4.000,
  "energy_ev_per_atom": -5.937,
  "relative_energy_mev_per_atom": 0,
  "n_ef_per_ev_cell": 0.00,
  "crystal_system": "tetragonal"
}

***

Entry 3:
{
  "formula": "Al2NiMoF",
  "functional": "PBE with a Hubbard U",
  "state": "optimized geometry",
  "cell": [[4.270, 0.000, 0.000], [0.000, 4.406, 0.000], [0.000, 0.000, 4.270]],
  "species": ["Al", "Al", "Ni", "Mo", "F"],
  "frac_coords": [[0.000, 0.000, 0.500], [0.500, 0.000, 0.000], [0.500, 0.500, 0.500], [0.000, 0.500, 0.000], [0.000, 0.000, 0.000]],
  "total_magnetization_mub_per_fu": 3.179,
  "energy_ev_per_atom": -3.331,
  "n_ef_per_ev_cell": 1.90,
  "crystal_system": "tetragonal"
}

***

Entry 4:
{
  "formula": "AlMoOF2",
  "functional": "PBE with a Hubbard U",
  "state": "optimized geometry",
  "cell": [[-0.504, -2.656, -3.308], [0.916, -3.321, 2.526], [-4.085, -0.406, 0.948]],
  "species": ["F", "F", "O", "Mo", "Al"],
  "frac_coords": [[0.000, 0.500, 0.000], [0.500, 0.000, 0.000], [0.000, 0.000, 0.500], [0.000, 0.000, 0.000], [0.500, 0.500, 0.500]],
  "total_magnetization_mub_per_fu": 3.000,
  "energy_ev_per_atom": -5.374,
  "relative_energy_mev_per_atom": 389,
  "n_ef_per_ev_cell": 0.02,
  "crystal_system": "tetragonal"
}

***

Entry 5:
{
  "formula": "AlMoO2F",
  "functional": "PBE with a Hubbard U",
  "state": "optimized geometry",
  "cell": [[-0.522, -0.667, -3.719], [3.773, -0.284, -0.478], [-0.187, -3.615, 0.675]],
  "species": ["O", "O", "F", "Mo", "Al"],
  "frac_coords": [[0.000, 0.500, 0.000], [0.500, 0.000, 0.000], [0.000, 0.000, 0.500], [0.500, 0.500, 0.500], [0.000, 0.000, 0.000]],
  "total_magnetization_mub_per_fu": 4.000,
  "energy_ev_per_atom": -6.376,
  "n_ef_per_ev_cell": 0.70,
  "crystal_system": "tetragonal"
}

***

Entry 6:
{
  "formula": "AlMoOF2",
  "functional": "PBE with a Hubbard U",
  "state": "optimized geometry",
  "cell": [[-3.166, 2.537, 0.291], [-2.094, -2.844, 2.018], [1.296, 1.259, 3.120]],
  "species": ["Mo", "Al", "O", "F", "F"],
  "frac_coords": [[0.500, 0.500, 0.500], [0.000, 0.000, 0.000], [0.000, 0.000, 0.500], [0.000, 0.500, 0.000], [0.500, 0.000, 0.000]],
  "total_magnetization_mub_per_fu": 5.000,
  "energy_ev_per_atom": -5.763,
  "relative_energy_mev_per_atom": 0,
  "n_ef_per_ev_cell": 0.40,
  "crystal_system": "tetragonal"
}

***

Entry 7:
{
  "formula": "AlMo2OF",
  "functional": "PBE with a Hubbard U",
  "state": "optimized geometry",
  "cell": [[4.047, 0.000, 0.000], [0.000, 4.767, 0.000], [0.000, 0.000, 4.047]],
  "species": ["Al", "O", "Mo", "Mo", "F"],
  "frac_coords": [[0.500, 0.500, 0.500], [0.000, 0.000, 0.000], [0.500, 0.000, 0.000], [0.000, 0.000, 0.500], [0.000, 0.500, 0.000]],
  "total_magnetization_mub_per_fu": 2.269,
  "energy_ev_per_atom": -4.943,
  "n_ef_per_ev_cell": 1.90,
  "crystal_system": "tetragonal"
}

***

Entry 8:
{
  "formula": "AlMoO2F",
  "functional": "PBE with a Hubbard U",
  "state": "optimized geometry",
  "cell": [[4.059, 0.000, 0.000], [0.000, 4.059, 0.000], [0.000, 0.000, 4.267]],
  "species": ["O", "O", "F", "Al", "Mo"],
  "frac_coords": [[0.500, 0.000, 0.000], [0.000, 0.500, 0.000], [0.000, 0.000, 0.500], [0.500, 0.500, 0.500], [0.000, 0.000, 0.000]],
  "total_magnetization_mub_per_fu": 2.009,
  "energy_ev_per_atom": -5.808,
  "n_ef_per_ev_cell": 1.26,
  "crystal_system": "tetragonal"
}

***

Entry 9:
{
  "formula": "AlMo2PF",
  "functional": "PBE with a Hubbard U",
  "state": "optimized geometry",
  "cell": [[5.083, 0.000, 0.000], [0.000, 4.612, 0.000], [0.000, 0.000, 5.083]],
  "species": ["Mo", "Mo", "F", "Al", "P"],
  "frac_coords": [[0.000, 0.000, 0.500], [0.500, 0.000, 0.000], [0.500, 0.500, 0.500], [0.000, 0.500, 0.000], [0.000, 0.000, 0.000]],
  "total_magnetization_mub_per_fu": 8.845,
  "energy_ev_per_atom": -4.486,
  "n_ef_per_ev_cell": 2.70,
  "crystal_system": "tetragonal"
}

***

Entry 10:
{
  "formula": "AlMo2RhF",
  "functional": "PBE with a Hubbard U",
  "state": "optimized geometry",
  "cell": [[-1.463, -0.574, 4.829], [3.015, -4.063, 0.431], [3.524, 2.764, 1.396]],
  "species": ["F", "Rh", "Al", "Mo", "Mo"],
  "frac_coords": [[0.500, 0.500, 0.500], [0.000, 0.000, 0.000], [0.000, 0.000, 0.500], [0.000, 0.500, 0.000], [0.500, 0.000, 0.000]],
  "total_magnetization_mub_per_fu": 7.131,
  "energy_ev_per_atom": -4.722,
  "n_ef_per_ev_cell": 2.79,
  "crystal_system": "tetragonal"
}

***

Entry 11:
{
  "formula": "AlTlMoF6",
  "functional": "PBE with a Hubbard U",
  "state": "optimized geometry",
  "cell": [[-0.912, 4.178, 3.553], [-3.171, -4.562, 0.200], [7.550, -4.911, 7.713]],
  "species": ["F", "F", "F", "F", "F", "F", "F", "F", "F", "F", "F", "F", "Al", "Al", "Mo", "Mo", "Tl", "Tl"],
  "frac_coords": [[0.400, 0.347, 0.337], [0.053, 0.400, 0.663], [0.600, 0.947, 0.837], [0.947, 0.347, 0.163], [0.053, 0.653, 0.837], [0.400, 0.053, 0.163], [0.947, 0.600, 0.337], [0.653, 0.053, 0.337], [0.347, 0.400, 0.837], [0.653, 0.600, 0.163], [0.600, 0.653, 0.663], [0.347, 0.947, 0.663], [0.333, 0.667, 0.750], [0.667, 0.333, 0.250], [0.333, 0.667, 0.250], [0.667, 0.333, 0.750], [0.000, 0.000, 0.000], [0.000, 0.000, 0.500]],
  "total_magnetization_mub_per_fu": 2.000,
  "energy_ev_per_atom": -5.266,
  "crystal_system": "trigonal"
}

***

Entry 12:
{
  "formula": "ZrAlMoF2",
  "functional": "PBE with a Hubbard U",
  "state": "optimized geometry",
  "cell": [[-2.735, 0.745, -2.490], [-4.585, -2.466, 4.298], [-0.435, 3.432, 1.505]],
  "species": ["F", "F", "Mo", "Al", "Zr"],
  "frac_coords": [[0.500, 0.000, 0.000], [0.000, 0.000, 0.500], [0.500, 0.500, 0.500], [0.000, 0.000, 0.000], [0.000, 0.500, 0.000]],
  "total_magnetization_mub_per_fu": 1.348,
  "energy_ev_per_atom": -5.228,
  "n_ef_per_ev_cell": 1.69,
  "crystal_system": "tetragonal"
}